(1)
This record from the Alexandria database describes CaCuSb at its PBEsol-relaxed geometry. The functional is SCAN.

Output
Mass density in g/cm3: 5.38
E_form (uncorrected) in kJ/mol of formula units: -202

abc: 4.3346 4.3346 4.2734
angles: 90.00 90.00 120.00
Space group P-6m2 (No. 187)
Unique sites:
Ca1 0.0000 0.0000 0.0000 (multiplicity 1)
Cu1 0.3333 0.6667 0.5000 (multiplicity 1)
Sb1 0.6667 0.3333 0.5000 (multiplicity 1)

(2)
This record from the Alexandria database describes MgFeCo2 at its PBEsol-relaxed geometry. The functional is SCAN.

Output
Mass density in g/cm3: 6.80
DFT formation energy in eV/f.u.: 0.02

abc: 2.833 2.833 6.028
angles: 90.00 90.00 90.00
Space group P4/mmm (No. 123)
Unique sites:
Mg1 0.000 0.000 0.000 (multiplicity 1)
Fe1 0.000 0.000 0.500 (multiplicity 1)
Co1 0.500 0.500 0.284 (multiplicity 2)

(3)
This record from the Alexandria database describes CaSb3As at its PBEsol-relaxed geometry. The functional is SCAN.

Output
Mass density in g/cm3: 4.70
E_form (uncorrected) in kJ/mol of formula units: 510

abc: 5.536 5.536 5.536
angles: 90.00 90.00 90.00
Space group Pm-3m (No. 221)
Unique sites:
Ca1 0.000 0.000 0.000 (multiplicity 1)
Sb1 0.000 0.000 0.500 (multiplicity 3)
As1 0.500 0.500 0.500 (multiplicity 1)